Entry 1:
Material: SmScC2
Method: DFT, PBE-GGA
State: relaxed

Cell lengths 3.5346, 3.5346, 6.0371 Å; angles 72.98, 72.98, 60.00 degrees
Fractional coordinates of all 4 atoms:
Sm  0.5000  0.5000  0.5000
Sc  0.0000  0.0000  0.0000
C  0.2589  0.2589  0.2232
C  0.7411  0.7411  0.7768

M_tot	0.000	Bohr magnetons per cell
volume	15.4	A^3/atom
final energy	-7.27	eV/atom
ΔH_f (0 K)	0.10	eV per atom

***

Entry 2:
Material: KYIr3
Method: DFT, PBE-GGA
State: relaxed

Cell lengths 4.7493, 4.7493, 4.7493 Å; angles 90.00, 90.00, 90.00 degrees
Fractional coordinates of all 5 atoms:
Ir  0.0000  0.0000  0.5000
Ir  0.5000  0.0000  0.0000
Ir  0.0000  0.5000  0.0000
Y  0.5000  0.5000  0.5000
K  0.0000  0.0000  0.0000

M_tot	0.000	Bohr magnetons per cell
volume	21.4	A^3/atom
final energy	-4.78	eV/atom
ΔH_f (0 K)	2.05	eV per atom

***

Entry 3:
Material: La8Ir4Rh
Method: DFT, PBE-GGA
State: relaxed

Cell lengths 8.4750, 8.4750, 8.2505 Å; angles 90.00, 120.90, 120.00 degrees
Fractional coordinates of all 13 atoms:
La  0.5019  0.7510  0.7641
La  0.9868  0.2490  0.2359
La  0.4822  0.7411  0.2233
La  0.0132  0.2622  0.7641
La  0.4981  0.2490  0.2359
La  0.0132  0.7510  0.7641
La  0.5178  0.2589  0.7767
La  0.9868  0.7378  0.2359
Ir  0.5000  0.5000  0.0000
Ir  0.0000  0.5000  0.0000
Ir  0.5000  0.0000  0.0000
Ir  0.0000  0.0000  0.0000
Rh  0.0000  0.5000  0.5000

M_tot	0.000	Bohr magnetons per cell
volume	31.8	A^3/atom
final energy	-6.98	eV/atom
ΔH_f (0 K)	-0.65	eV per atom

***

Entry 4:
Material: Ca2AlAg2
Method: DFT, PBE-GGA
State: relaxed

Cell lengths 7.4894, 7.4894, 4.3732 Å; angles 90.00, 90.00, 90.00 degrees
Fractional coordinates of all 10 atoms:
Al  0.5000  0.5000  0.0000
Al  0.0000  0.0000  0.0000
Ca  0.3245  0.1755  0.5000
Ca  0.8245  0.3245  0.5000
Ca  0.6755  0.8245  0.5000
Ca  0.1755  0.6755  0.5000
Ag  0.8663  0.6337  0.0000
Ag  0.1337  0.3663  0.0000
Ag  0.3663  0.8663  0.0000
Ag  0.6337  0.1337  0.0000

M_tot	0.000	Bohr magnetons per cell
volume	24.5	A^3/atom
final energy	-2.93	eV/atom
ΔH_f (0 K)	-0.24	eV per atom

***

Number 3 is which compound? La8Ir4Rh

***

Copy entry 3 word for word.
Material: La8Ir4Rh
Method: DFT, PBE-GGA
State: relaxed

Cell lengths 8.4750, 8.4750, 8.2505 Å; angles 90.00, 120.90, 120.00 degrees
Fractional coordinates of all 13 atoms:
La  0.5019  0.7510  0.7641
La  0.9868  0.2490  0.2359
La  0.4822  0.7411  0.2233
La  0.0132  0.2622  0.7641
La  0.4981  0.2490  0.2359
La  0.0132  0.7510  0.7641
La  0.5178  0.2589  0.7767
La  0.9868  0.7378  0.2359
Ir  0.5000  0.5000  0.0000
Ir  0.0000  0.5000  0.0000
Ir  0.5000  0.0000  0.0000
Ir  0.0000  0.0000  0.0000
Rh  0.0000  0.5000  0.5000

M_tot	0.000	Bohr magnetons per cell
volume	31.8	A^3/atom
final energy	-6.98	eV/atom
ΔH_f (0 K)	-0.65	eV per atom